Here is La2Tl3In after structural relaxation from Alexandria via LeMat-Bulk. Energies are from PBE-GGA.

Cell lengths 6.450, 6.450, 9.807 Å; angles 102.58, 102.58, 109.75 degrees
Sites, in units of the cell vectors:
1 La 0.250 0.750 0.500
2 La 0.753 0.753 0.000
3 La 0.750 0.250 0.500
4 La 0.247 0.247 0.000
5 Tl 0.337 0.831 0.168
6 Tl 0.169 0.663 0.832
7 Tl 0.663 0.169 0.832
8 Tl 0.831 0.337 0.168
9 Tl 0.168 0.168 0.336
10 Tl 0.832 0.832 0.664
11 In 0.666 0.666 0.332
12 In 0.334 0.334 0.668

space group = Fmmm
total magnetization = 0.0 μB/cell
DFT formation energy = -200 kJ/mol of formula units
calculated density = 9.40 Mg/m³

---

Here is La2Tl4In after structural relaxation from Alexandria via LeMat-Bulk. Energies are from PBE-GGA.

Cell lengths 10.604, 6.533, 7.168 Å; angles 117.11, 90.00, 90.00 degrees
Sites, in units of the cell vectors:
1 Tl 0.750 0.750 0.000
2 Tl 0.750 0.500 0.500
3 Tl 0.750 0.000 0.500
4 Tl 0.750 0.250 0.000
5 Tl 0.250 0.750 0.000
6 Tl 0.250 0.000 0.500
7 Tl 0.250 0.500 0.500
8 Tl 0.250 0.250 0.000
9 In 0.000 0.000 0.000
10 In 0.500 0.500 0.000
11 La 0.000 0.641 0.282
12 La 0.000 0.359 0.718
13 La 0.500 0.859 0.718
14 La 0.500 0.141 0.282

space group = Fmmm
total magnetization = 0.0 μB/cell
DFT formation energy = -85 kJ/mol of formula units
calculated density = 9.09 Mg/m³
energy relative to the lowest polymorph listed for this composition = 0.00 eV/f.u.

---

Here is La5Tl2In2 after structural relaxation from Alexandria via LeMat-Bulk. Energies are from PBE-GGA.

Cell lengths 8.392, 8.568, 9.514 Å; angles 116.76, 90.00, 90.00 degrees
Sites, in units of the cell vectors:
1 La 0.000 0.000 0.000
2 La 0.500 0.500 0.000
3 La 0.826 0.826 0.279
4 La 0.174 0.453 0.279
5 La 0.326 0.953 0.279
6 La 0.674 0.326 0.279
7 La 0.174 0.174 0.721
8 La 0.826 0.547 0.721
9 La 0.674 0.047 0.721
10 La 0.326 0.674 0.721
11 Tl 0.000 0.213 0.425
12 Tl 0.500 0.713 0.425
13 Tl 0.000 0.787 0.575
14 Tl 0.500 0.287 0.575
15 In 0.621 0.880 0.000
16 In 0.379 0.120 0.000
17 In 0.121 0.620 0.000
18 In 0.879 0.380 0.000

space group = Cmce
total magnetization = 0.0 μB/cell
DFT formation energy = -337 kJ/mol of formula units
calculated density = 7.25 Mg/m³

---

Here is La2Tl2In after structural relaxation from Alexandria via LeMat-Bulk. Energies are from PBE-GGA.

Cell lengths 8.468, 8.468, 4.510 Å; angles 90.00, 90.00, 90.00 degrees
Sites, in units of the cell vectors:
1 Tl 0.171 0.671 0.500
2 Tl 0.671 0.829 0.500
3 Tl 0.829 0.329 0.500
4 Tl 0.329 0.171 0.500
5 In 0.000 0.000 0.000
6 In 0.500 0.500 0.000
7 La 0.370 0.870 0.000
8 La 0.870 0.630 0.000
9 La 0.630 0.130 0.000
10 La 0.130 0.370 0.000

space group = P4/mbm
total magnetization = 0.0 μB/cell
DFT formation energy = -94 kJ/mol of formula units
calculated density = 8.23 Mg/m³
energy relative to the lowest polymorph listed for this composition = 1.10 eV/f.u.

---

Here is LaTl2In after structural relaxation from Alexandria via LeMat-Bulk. Energies are from PBE-GGA.

Cell lengths 6.060, 6.060, 4.827 Å; angles 66.54, 66.54, 46.92 degrees
Sites, in units of the cell vectors:
1 Tl 0.000 0.000 0.000
2 Tl 0.250 0.250 0.250
3 In 0.500 0.500 0.500
4 La 0.750 0.750 0.750

space group = I-4m2
total magnetization = 0.0 μB/cell
DFT formation energy = -118 kJ/mol of formula units
calculated density = 9.43 Mg/m³

---

Here is La4TlIn2 after structural relaxation from Alexandria via LeMat-Bulk. Energies are from PBE-GGA.

Cell lengths 6.796, 6.796, 6.796 Å; angles 110.06, 109.18, 109.18 degrees
Sites, in units of the cell vectors:
1 Tl 0.000 0.000 0.000
2 In 0.500 0.500 0.000
3 In 0.500 0.000 0.500
4 La 0.500 0.000 0.000
5 La 0.500 0.500 0.500
6 La 0.000 0.000 0.500
7 La 0.000 0.500 0.000

space group = I4/mmm
total magnetization = 0.0 μB/cell
DFT formation energy = -233 kJ/mol of formula units
calculated density = 6.80 Mg/m³

---

Here is La2Tl4In after structural relaxation from Alexandria via LeMat-Bulk. Energies are from PBE-GGA.

Cell lengths 5.594, 5.594, 9.050 Å; angles 72.00, 72.00, 90.00 degrees
Sites, in units of the cell vectors:
1 Tl 0.182 0.182 0.637
2 Tl 0.818 0.818 0.363
3 Tl 0.000 0.500 0.000
4 Tl 0.500 0.000 0.000
5 In 0.000 0.000 0.000
6 La 0.378 0.378 0.243
7 La 0.622 0.622 0.757

space group = I4/mmm
total magnetization = 0.0 μB/cell
DFT formation energy = 44 kJ/mol of formula units
calculated density = 7.89 Mg/m³
energy relative to the lowest polymorph listed for this composition = 1.34 eV/f.u.

---

Here is La6TlIn3 after structural relaxation from Alexandria via LeMat-Bulk. Energies are from PBE-GGA.

Cell lengths 5.493, 9.958, 12.132 Å; angles 105.77, 90.00, 90.00 degrees
Sites, in units of the cell vectors:
1 La 0.250 0.460 0.087
2 La 0.750 0.540 0.913
3 La 0.250 0.118 0.149
4 La 0.750 0.882 0.851
5 La 0.250 0.656 0.679
6 La 0.750 0.344 0.321
7 La 0.250 0.250 0.502
8 La 0.750 0.750 0.498
9 La 0.250 0.839 0.305
10 La 0.750 0.161 0.695
11 La 0.250 0.092 0.886
12 La 0.750 0.908 0.114
13 Tl 0.250 0.955 0.607
14 Tl 0.750 0.045 0.393
15 In 0.250 0.535 0.382
16 In 0.750 0.465 0.618
17 In 0.250 0.377 0.786
18 In 0.750 0.623 0.214
19 In 0.250 0.769 0.973
20 In 0.750 0.231 0.027

space group = P2_1/m
total magnetization = 0.0 μB/cell
DFT formation energy = -385 kJ/mol of formula units
calculated density = 7.19 Mg/m³
energy relative to the lowest polymorph listed for this composition = 0.00 eV/f.u.

---

Here is La4Tl2In after structural relaxation from Alexandria via LeMat-Bulk. Energies are from PBE-GGA.

Cell lengths 8.491, 8.490, 8.496 Å; angles 109.34, 109.33, 109.73 degrees
Sites, in units of the cell vectors:
1 La 0.027 0.277 0.400
2 La 0.373 0.473 0.250
3 La 0.876 0.627 0.599
4 La 0.723 0.123 0.750
5 La 0.373 0.973 0.250
6 La 0.223 0.123 0.750
7 La 0.527 0.777 0.900
8 La 0.877 0.626 0.100
9 Tl 0.501 0.375 0.626
10 Tl 0.749 0.875 0.374
11 Tl 0.626 0.251 0.126
12 Tl 0.125 0.499 0.874
13 In 0.250 0.750 0.500
14 In 0.000 0.000 0.000

space group = I-42d
total magnetization = 0.0 μB/cell
DFT formation energy = -232 kJ/mol of formula units
calculated density = 7.60 Mg/m³
energy relative to the lowest polymorph listed for this composition = 0.00 eV/f.u.

---

Here is La2TlIn after structural relaxation from Alexandria via LeMat-Bulk. Energies are from PBE-GGA.

Cell lengths 6.455, 6.455, 5.115 Å; angles 66.68, 66.68, 39.40 degrees
Sites, in units of the cell vectors:
1 Tl 0.473 0.473 0.527
2 In 0.777 0.777 0.723
3 La 0.009 0.009 0.991
4 La 0.240 0.240 0.260

space group = Imm2
total magnetization = 0.0 μB/cell
DFT formation energy = -171 kJ/mol of formula units
calculated density = 8.08 Mg/m³

---

Here is La5TlIn2 after structural relaxation from Alexandria via LeMat-Bulk. Energies are from PBE-GGA.

Cell lengths 6.913, 6.954, 6.903 Å; angles 109.70, 109.46, 109.43 degrees
Sites, in units of the cell vectors:
1 La 0.277 0.293 0.496
2 La 0.279 0.762 0.000
3 La 0.774 0.294 0.000
4 La 0.782 0.798 0.504
5 La 0.279 0.182 0.000
6 Tl 0.790 0.801 0.000
7 In 0.277 0.803 0.513
8 In 0.764 0.290 0.487

space group = Cm
total magnetization = 0.0 μB/cell
DFT formation energy = -264 kJ/mol of formula units
calculated density = 7.35 Mg/m³

---

Here is La9Tl2In after structural relaxation from Alexandria via LeMat-Bulk. Energies are from PBE-GGA.

Cell lengths 5.066, 5.066, 15.203 Å; angles 90.00, 90.00, 90.00 degrees
Sites, in units of the cell vectors:
1 La 0.500 0.500 0.000
2 La 0.500 0.500 0.333
3 La 0.500 0.500 0.667
4 La 0.500 0.000 0.166
5 La 0.500 0.000 0.500
6 La 0.500 0.000 0.834
7 La 0.000 0.500 0.166
8 La 0.000 0.500 0.500
9 La 0.000 0.500 0.834
10 Tl 0.000 0.000 0.333
11 Tl 0.000 0.000 0.667
12 In 0.000 0.000 0.000

space group = P4/mmm
total magnetization = 0.0 μB/cell
DFT formation energy = -305 kJ/mol of formula units
calculated density = 7.55 Mg/m³

---

Here is La2Tl2In after structural relaxation from Alexandria via LeMat-Bulk. Energies are from PBE-GGA.

Cell lengths 5.065, 6.456, 10.611 Å; angles 91.83, 76.19, 66.90 degrees
Sites, in units of the cell vectors:
1 La 0.708 0.237 0.347
2 La 0.893 0.280 0.933
3 La 0.292 0.763 0.653
4 La 0.107 0.720 0.067
5 Tl 0.082 0.276 0.559
6 Tl 0.650 0.831 0.869
7 Tl 0.918 0.724 0.441
8 Tl 0.350 0.169 0.131
9 In 0.531 0.223 0.715
10 In 0.469 0.777 0.285

space group = C2/m
total magnetization = 0.0 μB/cell
DFT formation energy = -200 kJ/mol of formula units
calculated density = 8.67 Mg/m³
energy relative to the lowest polymorph listed for this composition = 0.00 eV/f.u.

---

Here is LaTl2In2 after structural relaxation from Alexandria via LeMat-Bulk. Energies are from PBE-GGA.

Cell lengths 8.697, 8.697, 3.860 Å; angles 90.00, 90.00, 90.00 degrees
Sites, in units of the cell vectors:
1 Tl 0.174 0.674 0.500
2 Tl 0.674 0.826 0.500
3 Tl 0.826 0.326 0.500
4 Tl 0.326 0.174 0.500
5 In 0.376 0.876 0.000
6 In 0.876 0.624 0.000
7 In 0.624 0.124 0.000
8 In 0.124 0.376 0.000
9 La 0.000 0.000 0.000
10 La 0.500 0.500 0.000

space group = P4/mbm
total magnetization = 0.0 μB/cell
DFT formation energy = -72 kJ/mol of formula units
calculated density = 8.84 Mg/m³
energy relative to the lowest polymorph listed for this composition = 0.01 eV/f.u.

---

Here is La2TlIn after structural relaxation from Alexandria via LeMat-Bulk. Energies are from PBE-GGA.

Cell lengths 8.938, 8.938, 7.145 Å; angles 51.28, 51.28, 90.00 degrees
Each line ends with the local moment (μB).
Sites, in units of the cell vectors:
1 Tl 0.000 0.000 0.000  0.00
2 Tl 0.750 0.250 0.500  0.00
3 In 0.500 0.500 0.000  0.00
4 In 0.250 0.750 0.500  0.00
5 La 0.627 0.125 0.250  0.14
6 La 0.123 0.625 0.250  0.15
7 La 0.375 0.373 0.750  0.14
8 La 0.875 0.877 0.750  0.15

space group = I-42d
total magnetization = 1.1 μB/cell
DFT formation energy = -56 kJ/mol of formula units
calculated density = 7.45 Mg/m³

---

Here is La4Tl2In after structural relaxation from Alexandria via LeMat-Bulk. Energies are from PBE-GGA.

Cell lengths 5.538, 5.538, 9.511 Å; angles 73.07, 73.07, 60.00 degrees
Sites, in units of the cell vectors:
1 Tl 0.749 0.749 0.754
2 Tl 0.251 0.251 0.246
3 In 0.000 0.000 0.000
4 La 0.871 0.871 0.386
5 La 0.129 0.129 0.614
6 La 0.619 0.619 0.142
7 La 0.381 0.381 0.858

space group = R-3m
total magnetization = 0.0 μB/cell
DFT formation energy = -206 kJ/mol of formula units
calculated density = 7.53 Mg/m³
energy relative to the lowest polymorph listed for this composition = 0.27 eV/f.u.

---

Here is LaTl3In after structural relaxation from Alexandria via LeMat-Bulk. Energies are from PBE-GGA.

Cell lengths 5.605, 5.605, 5.605 Å; angles 90.00, 90.00, 90.00 degrees
Sites, in units of the cell vectors:
1 Tl 0.000 0.500 0.000
2 Tl 0.000 0.000 0.500
3 Tl 0.500 0.000 0.000
4 In 0.000 0.000 0.000
5 La 0.500 0.500 0.500

space group = Pm-3m
total magnetization = 0.0 μB/cell
DFT formation energy = 118 kJ/mol of formula units
calculated density = 8.17 Mg/m³
energy relative to the lowest polymorph listed for this composition = 0.00 eV/f.u.

---

Here is La5TlIn4 after structural relaxation from Alexandria via LeMat-Bulk. Energies are from PBE-GGA.

Cell lengths 3.947, 3.947, 19.934 Å; angles 90.00, 90.00, 90.00 degrees
Sites, in units of the cell vectors:
1 La 0.500 0.500 0.102
2 La 0.500 0.500 0.301
3 La 0.500 0.500 0.500
4 La 0.500 0.500 0.699
5 La 0.500 0.500 0.898
6 Tl 0.000 0.000 0.000
7 In 0.000 0.000 0.202
8 In 0.000 0.000 0.401
9 In 0.000 0.000 0.599
10 In 0.000 0.000 0.798

space group = P4/mmm
total magnetization = 0.0 μB/cell
DFT formation energy = -480 kJ/mol of formula units
calculated density = 7.26 Mg/m³

---

Here is La12Tl3In after structural relaxation from Alexandria via LeMat-Bulk. Energies are from PBE-GGA.

Cell lengths 5.071, 5.071, 20.254 Å; angles 90.00, 90.00, 90.00 degrees
Sites, in units of the cell vectors:
1 La 0.500 0.500 0.000
2 La 0.500 0.500 0.249
3 La 0.500 0.500 0.500
4 La 0.500 0.500 0.751
5 La 0.500 0.000 0.124
6 La 0.500 0.000 0.375
7 La 0.500 0.000 0.625
8 La 0.500 0.000 0.876
9 La 0.000 0.500 0.124
10 La 0.000 0.500 0.375
11 La 0.000 0.500 0.625
12 La 0.000 0.500 0.876
13 Tl 0.000 0.000 0.250
14 Tl 0.000 0.000 0.500
15 Tl 0.000 0.000 0.750
16 In 0.000 0.000 0.000

space group = P4/mmm
total magnetization = 0.0 μB/cell
DFT formation energy = -399 kJ/mol of formula units
calculated density = 7.64 Mg/m³

---

Here is La3TlIn after structural relaxation from Alexandria via LeMat-Bulk. Energies are from PBE-GGA.

Cell lengths 5.654, 5.647, 10.479 Å; angles 90.00, 74.35, 90.00 degrees
Sites, in units of the cell vectors:
1 La 0.762 0.250 0.125
2 La 0.375 0.250 0.898
3 La 0.571 0.250 0.507
4 La 0.273 0.750 0.102
5 La 0.887 0.750 0.875
6 La 0.078 0.750 0.493
7 Tl 0.676 0.750 0.297
8 Tl 0.973 0.250 0.703
9 In 0.473 0.750 0.702
10 In 0.175 0.250 0.298

space group = Cmcm
total magnetization = 0.0 μB/cell
DFT formation energy = -166 kJ/mol of formula units
calculated density = 7.59 Mg/m³
energy relative to the lowest polymorph listed for this composition = 0.00 eV/f.u.